1.
An optimized crystal structure of LiPmDy2Te4, computed with PBE-GGA.

Cell lengths 7.5835, 4.3483, 7.5948 Å; angles 90.00, 109.16, 90.00 degrees
Closest atoms and distances in Å follow each position.
Positions (direct):
1 Li 0.0000 0.0000 0.0000  6 Te 3.04-3.06
2 Pm 0.0000 0.5000 0.5000  6 Te 3.13
3 Dy 0.5000 0.0000 0.5000  6 Te 3.13-3.14
4 Dy 0.5000 0.5000 0.0000  6 Te 3.06
5 Te 0.2471 0.5000 0.2413  2 Li 3.06, 3 Dy 3.06-3.13, 1 Pm 3.13
6 Te 0.2518 0.0000 0.7600  1 Li 3.04, 3 Dy 3.06-3.14, 2 Pm 3.13
7 Te 0.7482 0.0000 0.2400  1 Li 3.04, 3 Dy 3.06-3.14, 2 Pm 3.13
8 Te 0.7529 0.5000 0.7587  2 Li 3.06, 3 Dy 3.06-3.13, 1 Pm 3.13

Values from the calculation:
ΔE_f (raw) (eV/atom): -1.33



2.
An optimized crystal structure of Li2PmDy2Tl2, computed with PBE-GGA.

Cell lengths 9.3862, 9.3862, 9.3862 Å; angles 30.05, 30.05, 30.05 degrees
Closest atoms and distances in Å follow each position.
Positions (direct):
1 Li 0.0984 0.0984 0.0984  3 Tl 2.81
2 Li 0.9016 0.9016 0.9016  3 Tl 2.81
3 Pm 0.5000 0.5000 0.5000  6 Li 3.35, 6 Tl 3.43, 2 Dy 3.43
4 Dy 0.3722 0.3722 0.3722  3 Tl 3.17, 3 Li 3.23, 1 Pm 3.43, 3 Dy 3.50
5 Dy 0.6278 0.6278 0.6278  3 Tl 3.17, 3 Li 3.23, 1 Pm 3.43, 3 Dy 3.50
6 Tl 0.2400 0.2400 0.2400  3 Li 2.81
7 Tl 0.7600 0.7600 0.7600  3 Li 2.81

Values from the calculation:
E_form (eV/atom): -0.185



3.
An optimized crystal structure of LiPmDy2Tl4, computed with PBE-GGA.

Cell lengths 9.4127, 9.4127, 9.4127 Å; angles 32.47, 32.47, 32.47 degrees
Closest atoms and distances in Å follow each position.
Positions (direct):
1 Li 0.0000 0.0000 0.0000  8 Tl 3.21-3.25
2 Pm 0.5000 0.5000 0.5000  8 Tl 3.27-3.42
3 Dy 0.2548 0.2548 0.2548  7 Tl 3.14-3.25
4 Dy 0.7452 0.7452 0.7452  7 Tl 3.14-3.25
5 Tl 0.1217 0.1217 0.1217  4 Dy 3.25-3.56, 1 Li 3.25, 3 Pm 3.27
6 Tl 0.3722 0.3722 0.3722  4 Dy 3.14-3.22, 3 Li 3.21, 1 Pm 3.42
7 Tl 0.6278 0.6278 0.6278  4 Dy 3.14-3.22, 3 Li 3.21, 1 Pm 3.42
8 Tl 0.8783 0.8783 0.8783  4 Dy 3.25-3.56, 1 Li 3.25, 3 Pm 3.27

Values from the calculation:
E_form (eV/atom): -0.332



4.
An optimized crystal structure of LiPm2DyTl4, computed with PBE-GGA.

Cell lengths 9.4740, 9.4740, 9.4740 Å; angles 32.46, 32.46, 32.46 degrees
Closest atoms and distances in Å follow each position.
Positions (direct):
1 Li 0.0000 0.0000 0.0000  8 Tl 3.25-3.35
2 Pm 0.2557 0.2557 0.2557  8 Tl 3.18-3.53
3 Pm 0.7443 0.7443 0.7443  8 Tl 3.18-3.53
4 Dy 0.5000 0.5000 0.5000  8 Tl 3.26-3.39
5 Tl 0.1245 0.1245 0.1245  3 Dy 3.26, 4 Pm 3.31-3.53, 1 Li 3.35
6 Tl 0.3739 0.3739 0.3739  4 Pm 3.18-3.22, 3 Li 3.25, 1 Dy 3.39
7 Tl 0.6261 0.6261 0.6261  4 Pm 3.18-3.22, 3 Li 3.25, 1 Dy 3.39
8 Tl 0.8755 0.8755 0.8755  3 Dy 3.26, 4 Pm 3.31-3.53, 1 Li 3.35

Values from the calculation:
E_form (eV/atom): -0.346



5.
An optimized crystal structure of Li2PmDyTl4, computed with PBE-GGA.

Cell lengths 9.0373, 9.0373, 9.0373 Å; angles 33.62, 33.62, 33.62 degrees
Closest atoms and distances in Å follow each position.
Positions (direct):
1 Li 0.2495 0.2495 0.2495  8 Tl 3.14-3.25
2 Li 0.7505 0.7505 0.7505  8 Tl 3.14-3.25
3 Pm 0.0000 0.0000 0.0000  8 Tl 3.21-3.24
4 Dy 0.5000 0.5000 0.5000  8 Tl 3.16-3.19
5 Tl 0.1266 0.1266 0.1266  4 Li 3.14-3.21, 3 Dy 3.19, 1 Pm 3.24
6 Tl 0.3765 0.3765 0.3765  1 Dy 3.16, 4 Li 3.19-3.25, 3 Pm 3.21
7 Tl 0.6235 0.6235 0.6235  1 Dy 3.16, 4 Li 3.19-3.25, 3 Pm 3.21
8 Tl 0.8734 0.8734 0.8734  4 Li 3.14-3.21, 3 Dy 3.19, 1 Pm 3.24

Values from the calculation:
E_form (eV/atom): -0.327



6.
An optimized crystal structure of LiPmDyTm, computed with PBE-GGA.

Cell lengths 5.4899, 5.4899, 5.4899 Å; angles 60.00, 60.00, 60.00 degrees
Closest atoms and distances in Å follow each position.
Positions (direct):
1 Li 0.0000 0.0000 0.0000  4 Dy 3.36, 4 Pm 3.36
2 Pm 0.2500 0.2500 0.2500  4 Li 3.36, 4 Tm 3.36
3 Dy 0.7500 0.7500 0.7500  4 Li 3.36, 4 Tm 3.36
4 Tm 0.5000 0.5000 0.5000  4 Dy 3.36, 4 Pm 3.36

Values from the calculation:
E_form (eV/atom): 0.160



7.
An optimized crystal structure of LiPmDyY, computed with PBE-GGA.

Cell lengths 5.5337, 5.5337, 5.5337 Å; angles 60.00, 60.00, 60.00 degrees
Closest atoms and distances in Å follow each position.
Positions (direct):
1 Li 0.0000 0.0000 0.0000  4 Pm 3.39, 4 Y 3.39
2 Pm 0.7500 0.7500 0.7500  4 Dy 3.39, 4 Li 3.39
3 Dy 0.5000 0.5000 0.5000  4 Pm 3.39, 4 Y 3.39
4 Y 0.2500 0.2500 0.2500  4 Dy 3.39, 4 Li 3.39

Values from the calculation:
E_form (eV/atom): 0.172
Energy above the most stable polymorph in this dataset (eV per atom): 0.000



8.
An optimized crystal structure of LiPmDyZn, computed with PBE-GGA.

Cell lengths 5.1680, 5.1680, 5.1680 Å; angles 60.00, 60.00, 60.00 degrees
Closest atoms and distances in Å follow each position.
Positions (direct):
1 Li 0.0000 0.0000 0.0000  4 Pm 3.16, 4 Dy 3.16
2 Pm 0.7500 0.7500 0.7500  4 Li 3.16, 4 Zn 3.16
3 Dy 0.2500 0.2500 0.2500  4 Li 3.16, 4 Zn 3.16
4 Zn 0.5000 0.5000 0.5000  4 Dy 3.16, 4 Pm 3.16

Values from the calculation:
E_form (eV/atom): -0.112
Energy above the most stable polymorph in this dataset (eV per atom): 0.008



9.
An optimized crystal structure of LiPmDyZn, computed with PBE-GGA.

Cell lengths 3.6695, 3.6695, 7.4015 Å; angles 90.00, 90.00, 90.00 degrees
Closest atoms and distances in Å follow each position.
Positions (direct):
1 Li 0.0000 0.0000 0.0000  4 Dy 3.23, 4 Pm 3.30, 1 Zn 3.56
2 Pm 0.5000 0.5000 0.7245  4 Zn 3.16, 4 Li 3.30, 1 Dy 3.45
3 Dy 0.5000 0.5000 0.2589  4 Zn 3.07, 4 Li 3.23
4 Zn 0.0000 0.0000 0.4812  4 Dy 3.07, 4 Pm 3.16

Values from the calculation:
E_form (eV/atom): -0.120
Energy above the most stable polymorph in this dataset (eV per atom): 0.000



10.
An optimized crystal structure of LiPr5Dy4, computed with PBE-GGA.

Cell lengths 3.6428, 3.6428, 24.7220 Å; angles 90.00, 90.00, 90.00 degrees
Closest atoms and distances in Å follow each position.
Positions (direct):
1 Li 0.0000 0.0000 0.0000  8 Pr 3.38, 4 Li 3.64
2 Pr 0.5000 0.5000 0.0886  4 Li 3.38, 4 Dy 3.60, 4 Pr 3.64
3 Pr 0.5000 0.5000 0.2939  8 Dy 3.62-3.64, 4 Pr 3.64
4 Pr 0.5000 0.5000 0.5000  8 Dy 3.63, 4 Pr 3.64
5 Pr 0.5000 0.5000 0.7061  8 Dy 3.62-3.64, 4 Pr 3.64
6 Pr 0.5000 0.5000 0.9114  4 Li 3.38, 4 Dy 3.60, 4 Pr 3.64
7 Dy 0.0000 0.0000 0.1901  8 Pr 3.60-3.64, 4 Dy 3.64
8 Dy 0.0000 0.0000 0.3967  8 Pr 3.62-3.63, 4 Dy 3.64
9 Dy 0.0000 0.0000 0.6033  8 Pr 3.62-3.63, 4 Dy 3.64
10 Dy 0.0000 0.0000 0.8099  8 Pr 3.60-3.64, 4 Dy 3.64

Values from the calculation:
E_form (eV/atom): 0.034



11.
An optimized crystal structure of Li2PrDy, computed with PBE-GGA.

Cell lengths 3.7673, 3.7673, 7.6129 Å; angles 90.00, 90.00, 90.00 degrees
Closest atoms and distances in Å follow each position.
Positions (direct):
1 Li 0.0000 0.0000 0.2432  4 Dy 3.24, 4 Pr 3.30
2 Li 0.0000 0.0000 0.7568  4 Dy 3.24, 4 Pr 3.30
3 Pr 0.5000 0.5000 0.5000  8 Li 3.30
4 Dy 0.5000 0.5000 0.0000  8 Li 3.24

Values from the calculation:
E_form (eV/atom): 0.150
Energy above the most stable polymorph in this dataset (eV per atom): 0.000



12.
An optimized crystal structure of LiPr2Dy, computed with PBE-GGA.

Cell lengths 5.6275, 5.6275, 5.6275 Å; angles 60.00, 60.00, 60.00 degrees
Closest atoms and distances in Å follow each position.
Positions (direct):
1 Li 0.0000 0.0000 0.0000  8 Pr 3.45
2 Pr 0.2500 0.2500 0.2500  4 Dy 3.45, 4 Li 3.45
3 Pr 0.7500 0.7500 0.7500  4 Dy 3.45, 4 Li 3.45
4 Dy 0.5000 0.5000 0.5000  8 Pr 3.45

Values from the calculation:
E_form (eV/atom): 0.156
Energy above the most stable polymorph in this dataset (eV per atom): 0.095



| no. | total energy (eV per atom) | M_tot (μB per atom) |
| --- | --- | --- |
| 1 | -4.88 | 0.000 |
| 2 | -3.40 | 0.000 |
| 3 | -3.50 | 0.000 |
| 4 | -3.53 | 0.000 |
| 5 | -3.16 | 0.000 |
| 6 | -3.77 | 0.000 |
| 7 | -4.26 | 0.000 |
| 8 | -3.25 | 0.000 |
| 9 | -3.26 | 0.000 |
| 10 | -4.39 | 0.000 |
| 11 | -3.15 | 0.000 |
| 12 | -3.86 | 0.000 |